1.
{"formula": "CoHg2W", "functional": "PBE-GGA", "state": "optimized geometry", "lattice": [[-1.4862, 4.0162, 2.4251], [-2.9697, -1.5355, 3.6115], [4.5346, -1.4725, -1.2202]], "species": ["Co", "Hg", "Hg", "W"], "frac_coords": [[0.7500, 0.2500, 0.5000], [0.0000, 0.0000, 0.0000], [0.2500, 0.7500, 0.5000], [0.5000, 0.5000, 0.0000]], "crystal_system": "tetragonal", "vol_a3_per_atom": 17.0, "sg": "No. 119"}

2.
{"formula": "CoHgW2", "functional": "PBE-GGA", "state": "optimized geometry", "lattice": [[4.1756, 0.0000, 0.0000], [0.0000, 2.7532, 0.0312], [0.0000, 1.0157, 5.6091]], "species": ["Co", "Hg", "W", "W"], "frac_coords": [[0.0000, 0.6958, 0.4535], [0.5000, 0.5753, 0.7460], [0.0000, 0.9808, 0.0243], [0.5000, 0.2481, 0.2763]], "crystal_system": "monoclinic", "vol_a3_per_atom": 16.1, "sg": "No. 6"}

| no. | DFT total energy (eV/atom) |
| --- | --- |
| 1 | -4.252 |
| 2 | -7.786 |